SiAgHg2 | PBE-GGA | optimized geometry

Lattice parameters (Å, degrees): 4.221 4.221 9.204 90.00 90.00 90.00
Space group I-4m2 (No. 119)
Symmetry-distinct sites (fractional):
Si (0.000, 0.000, 0.000) (multiplicity 2)
Ag (0.000, 0.500, 0.750) (multiplicity 2)
Hg (0.000, 0.000, 0.500) (multiplicity 2)
Hg (0.000, 0.500, 0.250) (multiplicity 2)

## Properties
formation energy from raw total energies = 0.37 eV per atom



SrLaPt2 | PBE-GGA | optimized geometry

Lattice parameters (Å, degrees): 4.548 4.062 11.272 90.00 90.00 90.00
Space group Amm2 (No. 38)
Symmetry-distinct sites (fractional):
Sr (0.000, 0.000, 0.000) (multiplicity 2)
La (0.500, 0.000, 0.726) (multiplicity 2)
Pt (0.000, 0.000, 0.275) (multiplicity 2)
Pt (0.500, 0.000, 0.438) (multiplicity 2)

## Properties
excess energy over the best structure of this formula in the dataset = 0 meV/atom
ΔH_f (0 K) = -1.007 eV per atom



RuPtW2 | PBE-GGA | optimized geometry

Lattice parameters (Å, degrees): 5.549 7.910 2.784 90.00 90.00 90.00
Space group Cmmm (No. 65)
Symmetry-distinct sites (fractional):
Ru (0.000, 0.000, 0.000) (multiplicity 2)
Pt (0.000, 0.500, 0.000) (multiplicity 2)
W (0.250, 0.250, 0.500) (multiplicity 4)

## Properties
excess energy over the best structure of this formula in the dataset = 53 meV/atom
ΔH_f (0 K) = -0.119 eV per atom



LiErPuGe | PBE-GGA | optimized geometry

Lattice parameters (Å, degrees): 7.111 7.111 7.111 90.00 90.00 90.00
Space group F-43m (No. 216)
Symmetry-distinct sites (fractional):
Li (0.000, 0.000, 0.000) (multiplicity 4)
Er (0.250, 0.250, 0.750) (multiplicity 4)
Pu (0.250, 0.250, 0.250) (multiplicity 4)
Ge (0.000, 0.000, 0.500) (multiplicity 4)

## Properties
ΔH_f (0 K) = -0.226 eV per atom



CaP2Rh | PBE-GGA | optimized geometry

Lattice parameters (Å, degrees): 6.994 6.994 6.626 90.00 90.00 90.00
Space group I-42d (No. 122)
Symmetry-distinct sites (fractional):
Ca (0.000, 0.000, 0.000) (multiplicity 4)
P (0.169, 0.250, 0.625) (multiplicity 8)
Rh (0.000, 0.000, 0.500) (multiplicity 4)

## Properties
excess energy over the best structure of this formula in the dataset = 230 meV/atom
ΔH_f (0 K) = -0.593 eV per atom



Tm2Cd3Hg2 | PBE-GGA | optimized geometry

Lattice parameters (Å, degrees): 10.866 4.158 7.558 90.00 93.30 90.00
Space group C2/m (No. 12)
Symmetry-distinct sites (fractional):
Tm (0.116, 0.000, 0.322) (multiplicity 4)
Cd (0.000, 0.500, 0.000) (multiplicity 2)
Cd (0.191, 0.000, 0.882) (multiplicity 4)
Hg (0.107, 0.500, 0.628) (multiplicity 4)

## Properties
ΔH_f (0 K) = -0.222 eV per atom



TiRuSe3 | PBE-GGA | optimized geometry

Lattice parameters (Å, degrees): 4.899 4.899 4.899 90.00 90.00 90.00
Space group Pm-3m (No. 221)
Symmetry-distinct sites (fractional):
Ti (0.000, 0.000, 0.000) (multiplicity 1)
Ru (0.500, 0.500, 0.500) (multiplicity 1)
Se (0.000, 0.000, 0.500) (multiplicity 3)

## Properties
excess energy over the best structure of this formula in the dataset = 0 meV/atom
formation energy from raw total energies = 0.38 eV per atom



Li8In6Pd | PBE-GGA | optimized geometry

Lattice parameters (Å, degrees): 7.5342 7.5342 18.0001 90.00 90.00 120.00
Space group R-3 (No. 148, hexagonal axes)
Symmetry-distinct sites (fractional):
Li (0.0000, 0.0000, 0.0839) (multiplicity 6)
Li (0.0501, 0.7911, 0.6268) (multiplicity 18)
In (0.0164, 0.2655, 0.2154) (multiplicity 18)
Pd (0.0000, 0.0000, 0.5000) (multiplicity 3)

## Properties
ΔH_f (0 K) = -0.270 eV per atom



LiNd3Cd4 | PBE-GGA | optimized geometry

Lattice parameters (Å, degrees): 3.739 3.739 15.238 90.00 90.00 90.00
Space group P4/mmm (No. 123)
Symmetry-distinct sites (fractional):
Li (0.000, 0.000, 0.000) (multiplicity 1)
Nd (0.000, 0.000, 0.238) (multiplicity 2)
Nd (0.000, 0.000, 0.500) (multiplicity 1)
Cd (0.500, 0.500, 0.102) (multiplicity 2)
Cd (0.500, 0.500, 0.369) (multiplicity 2)

## Properties
ΔH_f (0 K) = -0.277 eV per atom



CsEr5S8 | PBE-GGA | optimized geometry

Lattice parameters (Å, degrees): 20.252 3.966 9.756 90.00 104.58 90.00
Space group C2/m (No. 12)
Symmetry-distinct sites (fractional):
Cs (0.000, 0.000, 0.000) (multiplicity 2)
Er (0.000, 0.500, 0.500) (multiplicity 2)
Er (0.157, 0.000, 0.452) (multiplicity 4)
Er (0.203, 0.000, 0.839) (multiplicity 4)
S (0.079, 0.000, 0.644) (multiplicity 4)
S (0.082, 0.500, 0.317) (multiplicity 4)
S (0.171, 0.500, 0.989) (multiplicity 4)
S (0.230, 0.500, 0.646) (multiplicity 4)

## Properties
formation energy from raw total energies = -2.03 eV per atom



Pm5NiIr4 | PBE-GGA | optimized geometry

Lattice parameters (Å, degrees): 3.503 3.503 17.761 90.00 90.00 90.00
Space group P4/mmm (No. 123)
Symmetry-distinct sites (fractional):
Pm (0.000, 0.000, 0.000) (multiplicity 1)
Pm (0.000, 0.000, 0.201) (multiplicity 2)
Pm (0.000, 0.000, 0.400) (multiplicity 2)
Ni (0.500, 0.500, 0.500) (multiplicity 1)
Ir (0.500, 0.500, 0.101) (multiplicity 2)
Ir (0.500, 0.500, 0.303) (multiplicity 2)

## Properties
ΔH_f (0 K) = -0.531 eV per atom



SrOsRu2 | PBE-GGA | optimized geometry

Lattice parameters (Å, degrees): 2.885 4.334 6.182 90.00 101.71 90.00
Space group P2/m (No. 10)
Symmetry-distinct sites (fractional):
Sr (0.000, 0.000, 0.000) (multiplicity 1)
Os (0.500, 0.000, 0.500) (multiplicity 1)
Ru (0.300, 0.500, 0.680) (multiplicity 2)

## Properties
excess energy over the best structure of this formula in the dataset = 216 meV/atom
ΔH_f (0 K) = 0.756 eV per atom



Ce2DyIr | PBE-GGA | optimized geometry

Lattice parameters (Å, degrees): 3.7379 3.7379 30.1046 90.00 90.00 120.00
Space group R-3m (No. 166, hexagonal axes)
Symmetry-distinct sites (fractional):
Ce (0.0000, 0.0000, 0.1082) (multiplicity 6)
Dy (0.0000, 0.0000, 0.0000) (multiplicity 3)
Ir (0.0000, 0.0000, 0.5000) (multiplicity 3)

## Properties
excess energy over the best structure of this formula in the dataset = 367 meV/atom
ΔH_f (0 K) = -0.069 eV per atom



LaSmSO2 | PBE-GGA | optimized geometry

Lattice parameters (Å, degrees): 3.917 3.917 12.446 90.00 90.00 90.00
Space group I4mm (No. 107)
Symmetry-distinct sites (fractional):
La (0.000, 0.000, 0.000) (multiplicity 2)
Sm (0.000, 0.000, 0.699) (multiplicity 2)
S (0.000, 0.000, 0.348) (multiplicity 2)
O (0.000, 0.500, 0.104) (multiplicity 4)

## Properties
formation energy from raw total energies = -3.04 eV per atom



Ba2PtO5 | PBE-GGA | optimized geometry

Lattice parameters (Å, degrees): 6.227 6.227 7.552 90.00 90.00 90.00
Space group I4mm (No. 107)
Symmetry-distinct sites (fractional):
Ba (0.000, 0.500, 0.000) (multiplicity 4)
Pt (0.000, 0.000, 0.272) (multiplicity 2)
O (0.000, 0.000, 0.517) (multiplicity 2)
O (0.220, 0.220, 0.227) (multiplicity 8)

## Properties
formation energy from raw total energies = -1.45 eV per atom



TiV2As2 | PBE-GGA | optimized geometry

Lattice parameters (Å, degrees): 6.793 6.793 3.246 90.00 90.00 90.00
Space group P4/mbm (No. 127)
Symmetry-distinct sites (fractional):
Ti (0.000, 0.000, 0.000) (multiplicity 2)
V (0.144, 0.356, 0.500) (multiplicity 4)
As (0.150, 0.650, 0.000) (multiplicity 4)

## Properties
ΔH_f (0 K) = -0.460 eV per atom



CdMoRu2 | PBE-GGA | optimized geometry

Lattice parameters (Å, degrees): 3.049 4.640 9.094 90.00 90.00 90.00
Space group Cmmm (No. 65)
Symmetry-distinct sites (fractional):
Cd (0.000, 0.000, 0.000) (multiplicity 2)
Mo (0.000, 0.000, 0.500) (multiplicity 2)
Ru (0.000, 0.500, 0.269) (multiplicity 4)

## Properties
ΔH_f (0 K) = 0.308 eV per atom